No. 1
First-principles (PBE-GGA) data for KTh2CuSe5 after structural relaxation, as listed in Alexandria via LeMat-Bulk.

a = 4.5727 Å, b = 7.3160 Å, c = 8.8669 Å
α = 114.37°, β = 104.94°, γ = 90.00°
Atoms (fractional coordinates):
Se 0.3439 0.5902 0.6878
Se 0.6561 0.9024 0.3122
Se 0.0000 0.0000 0.0000
Se 0.3439 0.0976 0.6878
Se 0.6561 0.4098 0.3122
Th 0.1922 0.1922 0.3844
Th 0.8078 0.8078 0.6156
K 0.0000 0.5000 0.0000
Cu 0.5000 0.0000 0.0000

Calculated values
The size of the total moment is 0.00 μB/f.u. The formation energy without anion corrections comes out at -1.40 eV per atom. As for the space group: Immm (71). The total energy comes out at -50.0 eV per cell.


No. 2
First-principles (PBE-GGA) data for BeAgCl2 after structural relaxation, as listed in Alexandria via LeMat-Bulk.

a = 3.6467 Å, b = 6.9493 Å, c = 3.6210 Å
α = 90.00°, β = 90.00°, γ = 90.00°
Atoms (fractional coordinates):
Be 0.0000 0.5000 0.5000
Cl 0.5000 0.5000 0.0000
Cl 0.0000 0.0000 0.0000
Ag 0.5000 0.0000 0.5000

Calculated values
The size of the total moment is 0.00 μB/f.u. The formation energy without anion corrections comes out at 0.11 eV per atom. The excess energy over the best structure of this formula in the dataset is 3.01 eV per formula unit. As for the space group: Pmmm (47). The total energy comes out at -9.8 eV per cell.


No. 3
First-principles (PBE-GGA) data for Tb2Ga4PdAu3 after structural relaxation, as listed in Alexandria via LeMat-Bulk.

a = 4.2986 Å, b = 4.2986 Å, c = 10.7344 Å
α = 90.00°, β = 90.00°, γ = 90.00°
Atoms (fractional coordinates):
Au 0.5000 0.0000 0.8604
Au 0.0000 0.5000 0.1396
Au 0.0000 0.0000 0.5000
Ga 0.0000 0.5000 0.3713
Ga 0.5000 0.5000 0.0000
Ga 0.0000 0.0000 0.0000
Ga 0.5000 0.0000 0.6288
Pd 0.5000 0.5000 0.5000
Tb 0.5000 0.0000 0.2533
Tb 0.0000 0.5000 0.7467

Calculated values
The size of the total moment is 0.00 μB/f.u. As for the space group: P-4m2 (115). The total energy comes out at -42.9 eV per cell.


No. 4
First-principles (PBE-GGA) data for Er2TmOs after structural relaxation, as listed in Alexandria via LeMat-Bulk.

a = 3.3876 Å, b = 3.3876 Å, c = 10.9288 Å
α = 81.08°, β = 81.08°, γ = 60.00°
Each line ends with the local moment (μB).
Atoms (fractional coordinates):
Er 0.8957 0.8957 0.3129  0.05
Er 0.1043 0.1043 0.6871  0.05
Tm 0.0000 0.0000 0.0000  0.22
Os 0.5000 0.5000 0.5000  0.06

Calculated values
The size of the total moment is 0.47 μB/f.u. The excess energy over the best structure of this formula in the dataset is 2.20 eV per formula unit. As for the space group: R-3m (166). The total energy comes out at -23.8 eV per cell.


No. 5
First-principles (PBE-GGA) data for K6TlAg after structural relaxation, as listed in Alexandria via LeMat-Bulk.

a = 4.7566 Å, b = 9.7610 Å, c = 9.7609 Å
α = 95.11°, β = 90.00°, γ = 90.00°
Atoms (fractional coordinates):
K 0.0000 0.6627 0.3373
K 0.5000 0.3499 0.0934
K 0.5000 0.9066 0.6501
K 0.0000 0.5357 0.7876
K 0.5000 0.9297 0.0703
K 0.0000 0.2124 0.4643
Tl 0.0000 0.1435 0.8565
Ag 0.5000 0.2594 0.7406

Calculated values
The size of the total moment is 0.00 μB/f.u. As for the space group: Amm2 (38). The total energy comes out at -11.8 eV per cell.


No. 6
First-principles (PBE-GGA) data for ZrFe2Cl after structural relaxation, as listed in Alexandria via LeMat-Bulk.

a = 4.4868 Å, b = 4.4868 Å, c = 4.4868 Å
α = 60.00°, β = 60.00°, γ = 60.00°
Each line ends with the local moment (μB).
Atoms (fractional coordinates):
Fe 0.7500 0.7500 0.7500  2.23
Fe 0.2500 0.2500 0.2500  2.23
Zr 0.5000 0.5000 0.5000  -0.60
Cl 0.0000 0.0000 0.0000  0.07

Calculated values
The size of the total moment is 3.70 μB/f.u. The formation energy without anion corrections comes out at 0.66 eV per atom. The excess energy over the best structure of this formula in the dataset is 3.29 eV per formula unit. As for the space group: Fm-3m (225). The total energy comes out at -24.7 eV per cell.


No. 7
First-principles (PBE-GGA) data for Cs3KAg after structural relaxation, as listed in Alexandria via LeMat-Bulk.

a = 9.8567 Å, b = 9.3000 Å, c = 17.3264 Å
α = 90.00°, β = 93.73°, γ = 90.00°
Atoms (fractional coordinates):
K 0.1890 0.0784 0.3056
K 0.8110 0.0784 0.1944
K 0.8110 0.9216 0.6944
K 0.1890 0.9216 0.8056
Cs 0.1219 0.7086 0.0441
Cs 0.7269 0.5746 0.1959
Cs 0.1219 0.2914 0.5441
Cs 0.2731 0.5746 0.3041
Cs 0.7269 0.4254 0.6959
Cs 0.6416 0.7981 0.9255
Cs 0.3584 0.7981 0.5745
Cs 0.8781 0.7086 0.4559
Cs 0.2731 0.4254 0.8041
Cs 0.8781 0.2914 0.9559
Cs 0.6416 0.2019 0.4255
Cs 0.3584 0.2019 0.0745
Ag 0.0431 0.6450 0.6715
Ag 0.9569 0.3550 0.3285
Ag 0.9569 0.6450 0.8285
Ag 0.0431 0.3550 0.1715

Calculated values
The size of the total moment is 0.00 μB/f.u. The excess energy over the best structure of this formula in the dataset is 0.00 eV per formula unit. As for the space group: P2/c (13). The total energy comes out at -25.4 eV per cell.


No. 8
First-principles (PBE-GGA) data for RbNa2SeCl after structural relaxation, as listed in Alexandria via LeMat-Bulk.

a = 4.4813 Å, b = 8.3549 Å, c = 8.1258 Å
α = 86.17°, β = 90.00°, γ = 90.00°
Atoms (fractional coordinates):
Rb 0.2500 0.7515 0.9953
Rb 0.7500 0.2485 0.0047
Na 0.7500 0.3202 0.5592
Na 0.2500 0.6798 0.4408
Na 0.2500 0.0749 0.3629
Na 0.7500 0.9251 0.6371
Cl 0.2500 0.3994 0.2789
Cl 0.7500 0.6006 0.7211
Se 0.2500 0.1171 0.7165
Se 0.7500 0.8829 0.2835

Calculated values
The size of the total moment is 0.00 μB/f.u. The formation energy without anion corrections comes out at -1.34 eV per atom. As for the space group: P2_1/m (11). The total energy comes out at -31.2 eV per cell.


No. 9
First-principles (PBE-GGA) data for Mn4IrPt3 after structural relaxation, as listed in Alexandria via LeMat-Bulk.

a = 2.8888 Å, b = 2.8888 Å, c = 14.1373 Å
α = 90.00°, β = 90.00°, γ = 90.00°
Each line ends with the local moment (μB).
Atoms (fractional coordinates):
Mn 0.0000 0.0000 0.1188  3.44
Mn 0.0000 0.0000 0.8812  3.44
Mn 0.0000 0.0000 0.3722  3.79
Mn 0.0000 0.0000 0.6278  3.79
Pt 0.5000 0.5000 0.7557  0.38
Pt 0.5000 0.5000 0.2443  0.38
Pt 0.5000 0.5000 0.5000  0.36
Ir 0.5000 0.5000 0.0000  0.15

Calculated values
The size of the total moment is 16.30 μB/f.u. As for the space group: P4/mmm (123). The total energy comes out at -65.9 eV per cell.


No. 10
First-principles (PBE-GGA) data for Dy12TlPd6 after structural relaxation, as listed in Alexandria via LeMat-Bulk.

a = 8.6263 Å, b = 8.6263 Å, c = 8.6263 Å
α = 109.47°, β = 109.47°, γ = 109.47°
Atoms (fractional coordinates):
Dy 0.7030 0.8868 0.1838
Dy 0.1132 0.8162 0.2970
Dy 0.2970 0.4807 0.1838
Dy 0.1838 0.2970 0.4807
Dy 0.8868 0.1838 0.7030
Dy 0.8162 0.2970 0.1132
Dy 0.8162 0.7030 0.5193
Dy 0.1838 0.7030 0.8868
Dy 0.2970 0.1132 0.8162
Dy 0.4807 0.1838 0.2970
Dy 0.5193 0.8162 0.7030
Dy 0.7030 0.5193 0.8162
Tl 0.0000 0.0000 0.0000
Pd 0.3633 0.5000 0.8633
Pd 0.1367 0.6367 0.5000
Pd 0.6367 0.5000 0.1367
Pd 0.5000 0.1367 0.6367
Pd 0.5000 0.8633 0.3633
Pd 0.8633 0.3633 0.5000

Calculated values
The size of the total moment is 0.00 μB/f.u. The excess energy over the best structure of this formula in the dataset is 0.00 eV per formula unit. As for the space group: Im-3 (204). The total energy comes out at -100.3 eV per cell.


No. 11
First-principles (PBE-GGA) data for CdCo2Pd2 after structural relaxation, as listed in Alexandria via LeMat-Bulk.

a = 7.4240 Å, b = 7.4240 Å, c = 2.7586 Å
α = 90.00°, β = 90.00°, γ = 90.00°
Each line ends with the local moment (μB).
Atoms (fractional coordinates):
Pd 0.8697 0.6303 0.0000  0.30
Pd 0.1303 0.3697 0.0000  0.30
Pd 0.3697 0.8697 0.0000  0.30
Pd 0.6303 0.1303 0.0000  0.30
Co 0.8338 0.3338 0.5000  1.93
Co 0.1662 0.6662 0.5000  1.93
Co 0.3338 0.1662 0.5000  1.92
Co 0.6662 0.8338 0.5000  1.92
Cd 0.0000 0.0000 0.0000  -0.02
Cd 0.5000 0.5000 0.0000  -0.02

Calculated values
The size of the total moment is 4.33 μB/f.u. The excess energy over the best structure of this formula in the dataset is 0.34 eV per formula unit. As for the space group: P4/mbm (127). The total energy comes out at -49.3 eV per cell.


No. 12
First-principles (PBE-GGA) data for Fe2CuP after structural relaxation, as listed in Alexandria via LeMat-Bulk.

a = 2.7578 Å, b = 2.7578 Å, c = 6.2184 Å
α = 90.00°, β = 90.00°, γ = 90.00°
Each line ends with the local moment (μB).
Atoms (fractional coordinates):
Fe 0.5000 0.5000 0.2875  0.67
Fe 0.0000 0.0000 0.0121  2.78
P 0.0000 0.0000 0.4661  -0.01
Cu 0.5000 0.5000 0.7344  0.04

Calculated values
The size of the total moment is 3.42 μB/f.u. As for the space group: P4mm (99). The total energy comes out at -26.3 eV per cell.